Entry 1:
# AlCrSi2

An optimized crystal structure of AlCrSi2 (GGA-PBE, Alexandria).

Summary:
Total DFT energy (no corrections) ... -5.99 eV/atom
Formation energy without anion corrections ... 65.4 meV per atom

abc: 2.7195 2.7195 7.4405
angles: 90.00 90.00 90.00
Space group P4/mmm (No. 123)
One atom of each set of equivalent atoms:
Al1 0.0000 0.0000 0.0000 [1 per cell]
Cr1 0.0000 0.0000 0.5000 [1 per cell]
Si1 0.5000 0.5000 0.2808 [2 per cell]

Entry 2:
# AlCr6Si

An optimized crystal structure of AlCr6Si (GGA-PBE, Alexandria).

Summary:
Total DFT energy (no corrections) ... -8.59 eV/atom
Formation energy without anion corrections ... -229.9 meV per atom

abc: 4.5550 4.5550 4.5550
angles: 90.00 90.00 90.00
Space group Pm-3 (No. 200)
One atom of each set of equivalent atoms:
Al1 0.0000 0.0000 0.0000 [1 per cell]
Cr1 0.0000 0.2543 0.5000 [6 per cell]
Si1 0.5000 0.5000 0.5000 [1 per cell]

Entry 3:
# AlCrSi2

An optimized crystal structure of AlCrSi2 (GGA-PBE, Alexandria).

Summary:
Total DFT energy (no corrections) ... -5.99 eV/atom
Formation energy without anion corrections ... 63.9 meV per atom

abc: 3.6576 3.6576 7.9083
angles: 90.00 90.00 90.00
Space group I-4m2 (No. 119)
One atom of each set of equivalent atoms:
Al1 0.0000 0.0000 0.0000 [2 per cell]
Cr1 0.0000 0.5000 0.7500 [2 per cell]
Si1 0.0000 0.0000 0.5000 [2 per cell]
Si2 0.0000 0.5000 0.2500 [2 per cell]

Entry 4:
# AlCr2Si

An optimized crystal structure of AlCr2Si (GGA-PBE, Alexandria).

Summary:
Total DFT energy (no corrections) ... -7.16 eV/atom
Formation energy without anion corrections ... -55.2 meV per atom

abc: 8.8328 3.0633 4.1501
angles: 90.00 117.84 90.00
Space group C2/m (No. 12)
One atom of each set of equivalent atoms:
Al1 0.0000 0.0000 0.0000 [2 per cell]
Cr1 0.2441 0.0000 0.7439 [4 per cell]
Si1 0.0000 0.5000 0.5000 [2 per cell]